1.
# Nd2Y7Sc2 (PBE-GGA, relaxed)
data_Nd2Y7Sc2
_cell_length_a 8.863
_cell_length_b 9.272
_cell_length_c 8.703
_cell_angle_alpha 90.00
_cell_angle_beta 101.36
_cell_angle_gamma 90.00
_space_group_name_H-M_alt 'C 1 2/m 1'
_space_group_IT_number 12
loop_
_space_group_symop_operation_xyz
'x,y,z'
'-x,-y,-z'
'-x,y,-z'
'x,-y,z'
'x+1/2,y+1/2,z'
'-x+1/2,-y+1/2,-z'
'-x+1/2,y+1/2,-z'
'x+1/2,-y+1/2,z'
loop_
_atom_site_label
_atom_site_type_symbol
_atom_site_fract_x
_atom_site_fract_y
_atom_site_fract_z
_atom_site_occupancy
Nd1 Nd 0.103 0.000 0.358 1
Y1 Y 0.000 0.500 0.500 1
Y2 Y 0.150 0.500 0.913 1
Y3 Y 0.237 0.187 0.720 1
Sc1 Sc 0.000 0.169 0.000 1
# - ΔE to the lowest computed polymorph: 0.0457 eV per atom
# - ΔH_f (0 K): 0.100 eV per atom
# - Electronic total energy: -132.7 eV for the cell shown

2.
# Li2CdSb2 (PBE-GGA, relaxed)
data_Li2CdSb2
_cell_length_a 4.487
_cell_length_b 4.487
_cell_length_c 11.903
_cell_angle_alpha 90.00
_cell_angle_beta 90.00
_cell_angle_gamma 90.00
_space_group_name_H-M_alt 'I 4/m m m'
_space_group_IT_number 139
_space_group_name_Hall '-I 4 2'
loop_
_atom_site_label
_atom_site_type_symbol
_atom_site_fract_x
_atom_site_fract_y
_atom_site_fract_z
_atom_site_occupancy
Li1 Li 0.000 0.500 0.250 1
Cd1 Cd 0.000 0.000 0.000 1
Sb1 Sb 0.000 0.000 0.384 1
# - ΔE_f (raw): -0.15 eV/atom
# - ΔE to the lowest computed polymorph: 0.1779 eV per atom
# - Electronic total energy: -27.5 eV for the cell shown